No. 1
Density functional theory data (PBEsol) for a geometry-optimized TiCu3O4 structure.

a = 2.9478 Å, b = 5.3348 Å, c = 5.9642 Å
α = 107.27°, β = 90.00°, γ = 90.00°
Each line ends with the local moment (μB).
Positions (direct):
Ti  0.5000  0.0000  0.5000  0.03
Cu  0.0000  0.0000  0.0000  0.02
Cu  0.5000  0.5000  0.0000  0.07
Cu  0.0000  0.5000  0.5000  0.50
O  0.5000  0.3864  0.6760  0.12
O  0.0000  0.9397  0.6897  0.02
O  0.5000  0.6136  0.3240  0.12
O  0.0000  0.0603  0.3103  0.02

Results
Total magnetization, Bohr magnetons per cell: 0.9
Energy relative to the elements, uncorrected, eV/atom: -1.367

No. 2
Density functional theory data (PBEsol) for a geometry-optimized Ti3CuO structure.

a = 4.0193 Å, b = 4.0193 Å, c = 4.0193 Å
α = 90.00°, β = 90.00°, γ = 90.00°
Positions (direct):
O  0.0000  0.0000  0.0000
Cu  0.5000  0.5000  0.5000
Ti  0.0000  0.5000  0.0000
Ti  0.0000  0.0000  0.5000
Ti  0.5000  0.0000  0.0000

Results
Total magnetization, Bohr magnetons per cell: 0.0
Energy relative to the elements, uncorrected, eV/atom: -1.140

No. 3
Density functional theory data (PBEsol) for a geometry-optimized Ti4Cu3O12 structure.

a = 6.3239 Å, b = 6.3239 Å, c = 6.3239 Å
α = 109.47°, β = 109.47°, γ = 109.47°
Positions (direct):
Ti  0.5000  0.0000  0.0000
Ti  0.0000  0.0000  0.5000
Ti  0.0000  0.5000  0.0000
Ti  0.5000  0.5000  0.5000
Cu  0.5000  0.5000  0.0000
Cu  0.5000  0.0000  0.5000
Cu  0.0000  0.5000  0.5000
O  0.6842  0.8236  0.5077
O  0.3158  0.1764  0.4923
O  0.3158  0.8236  0.1394
O  0.1394  0.3158  0.8236
O  0.1764  0.4923  0.3158
O  0.8236  0.1394  0.3158
O  0.5077  0.6842  0.8236
O  0.8236  0.5077  0.6842
O  0.6842  0.1764  0.8606
O  0.8606  0.6842  0.1764
O  0.1764  0.8606  0.6842
O  0.4923  0.3158  0.1764

Results
Total magnetization, Bohr magnetons per cell: 0.0
Energy relative to the elements, uncorrected, eV/atom: -2.063